1:
Compound: HgIr17
Source: OQMD
Functional: PBE
Structure: relaxed

Unit cell a=4.713 b=5.445 c=33.365 alpha=90.00 beta=90.01 gamma=90.00
Space group P2_1/m (No. 11)
One atom of each set of equivalent atoms:
Hg  0.166  0.250  0.295
Ir  0.000  0.000  0.000
Ir  0.002  0.003  0.201
Ir  0.165  0.750  0.865
Ir  0.166  0.750  0.067
Ir  0.166  0.750  0.267
Ir  0.167  0.250  0.068
Ir  0.169  0.250  0.866
Ir  0.333  0.000  0.135
Ir  0.333  0.000  0.933
Ir  0.334  0.501  0.733
Ir  0.500  0.250  0.000
Ir  0.500  0.250  0.202
Ir  0.500  0.250  0.798

Results
* total magnetic moment: 0.00 μB/f.u.


2:
Compound: HgIr17
Source: OQMD
Functional: PBE
Structure: relaxed

Unit cell a=5.4518 b=5.4518 c=33.2944 alpha=90.00 beta=90.00 gamma=120.00
Space group P-3m1 (No. 164)
One atom of each set of equivalent atoms:
Hg  0.3333  0.6667  0.2949
Ir  0.0000  0.0000  0.0000
Ir  0.0000  0.0000  0.2024
Ir  0.0000  0.5000  0.0000
Ir  0.0030  0.5015  0.2017
Ir  0.1668  0.3337  0.1347
Ir  0.1670  0.3341  0.9326
Ir  0.1673  0.3347  0.7333
Ir  0.3333  0.6667  0.0673
Ir  0.3333  0.6667  0.8656

Results
* total magnetic moment: 0.01 μB/f.u.


Energetically preferred structure: 1 | next structure: +1.7 kJ/mol of atoms